Entry 1:
4
Lattice="-1.414 3.814 2.308 1.414 -3.814 2.308 1.414 3.814 -2.308" Properties=species:S:1:pos:R:3 comment="Tc3C (PBE-GGA, optimized geometry)" delta_e_f_ev_per_atom=0.1200 total_magnetization_mub_per_fu=0.0 pbc="T T T"
Tc 0.000 0.000 0.000
Tc 1.414 2.357 0.036
Tc 0.000 1.457 2.343
C 0.000 3.814 0.788

=====

Entry 2:
16
Lattice="4.070 0.000 0.000 -2.035 3.525 0.000 0.000 0.000 13.468" Properties=species:S:1:pos:R:3 comment="TcC3 (PBE-GGA, optimized geometry)" delta_e_f_ev_per_atom=2.0741 total_magnetization_mub_per_fu=0.3 pbc="T T T"
Tc 0.000 0.000 0.000
Tc 0.000 0.000 6.734
Tc 0.000 2.350 3.367
Tc 2.035 1.175 10.101
C -1.017 1.762 0.000
C -1.017 1.762 6.734
C 0.000 1.515 10.101
C -0.723 2.767 10.101
C 1.312 0.758 3.367
C 2.035 0.000 0.000
C 2.035 0.000 6.734
C 1.017 1.762 0.000
C 1.017 1.762 6.734
C 0.723 2.767 10.101
C 2.758 0.758 3.367
C 2.035 2.009 3.367

=====

Entry 3:
6
Lattice="-1.326 1.326 7.251 1.326 -1.326 7.251 1.326 1.326 -7.251" Properties=species:S:1:pos:R:3 comment="TcC2 (PBE-GGA, optimized geometry)" delta_e_f_ev_per_atom=1.3657 total_magnetization_mub_per_fu=0.0 pbc="T T T"
Tc 1.326 0.663 1.813
Tc 0.000 0.663 5.438
C 1.326 -0.663 4.037
C 1.326 -0.663 6.840
C 0.000 1.989 0.411
C 0.000 1.989 3.214

=====

Entry 4:
6
Lattice="-1.316 1.342 7.614 1.316 -1.342 7.614 1.316 1.342 -7.614" Properties=species:S:1:pos:R:3 comment="TcC2 (PBE-GGA, optimized geometry)" delta_e_f_ev_per_atom=1.0162 total_magnetization_mub_per_fu=0.0 pbc="T T T"
Tc 0.000 0.671 2.070
Tc 1.316 0.671 5.544
C 1.316 0.671 -3.364
C 1.316 0.671 0.375
C 0.000 0.671 7.239
C 0.000 0.671 10.978

=====

Entry 5:
6
Lattice="3.586 -1.460 0.000 3.586 1.460 0.000 -0.343 0.000 5.465" Properties=species:S:1:pos:R:3 comment="TcC2 (PBE-GGA, optimized geometry)" delta_e_f_ev_per_atom=0.9046 total_magnetization_mub_per_fu=0.0 pbc="T T T"
Tc 0.000 0.000 0.000
Tc 4.945 0.000 2.189
C -0.077 0.000 1.980
C 1.696 0.000 5.098
C 2.219 0.000 3.750
C 3.631 0.000 3.884

=====

Entry 6:
8
Lattice="-1.328 1.328 11.413 1.328 -1.328 11.413 1.328 1.328 -11.413" Properties=species:S:1:pos:R:3 comment="TcC3 (PBE-GGA, optimized geometry)" delta_e_f_ev_per_atom=1.9626 total_magnetization_mub_per_fu=0.0 pbc="T T T"
Tc 0.000 0.000 3.940
Tc 0.000 0.000 18.886
C 1.328 0.000 0.000
C 1.328 0.000 5.707
C 0.000 0.000 8.368
C 0.000 1.328 0.000
C 0.000 0.000 14.458
C 0.000 1.328 5.707

=====

Entry 7:
12
Lattice="3.413 0.000 0.000 -1.707 2.956 0.000 0.000 0.000 11.435" Properties=species:S:1:pos:R:3 comment="TcC2 (PBE-GGA, optimized geometry)" delta_e_f_ev_per_atom=1.3390 total_magnetization_mub_per_fu=0.0 pbc="T T T"
Tc 0.000 1.971 1.065
Tc 0.000 1.971 4.653
Tc 1.707 0.985 6.782
Tc 1.707 0.985 10.370
C 0.000 0.000 0.000
C 0.000 0.000 5.717
C 0.000 0.852 2.859
C -0.969 2.530 2.859
C 0.738 0.426 8.576
C 0.969 2.530 2.859
C 2.676 0.426 8.576
C 1.707 2.104 8.576

=====

Entry 8:
12
Lattice="3.568 0.000 0.000 0.000 9.592 0.000 0.000 0.000 4.461" Properties=species:S:1:pos:R:3 comment="TcC (PBE-GGA, optimized geometry)" delta_e_f_ev_per_atom=0.5152 total_magnetization_mub_per_fu=0.0 pbc="T T T"
Tc 0.892 1.018 0.019
Tc 0.892 3.778 0.019
Tc 0.892 7.194 2.111
Tc 2.676 2.398 2.350
Tc 2.676 5.814 4.442
Tc 2.676 8.574 4.442
C 0.892 2.398 1.471
C 0.892 5.588 0.966
C 0.892 8.800 0.966
C 2.676 0.792 3.495
C 2.676 4.004 3.495
C 2.676 7.194 2.990

=====

Entry 9:
4
Lattice="4.937 -1.606 0.000 4.937 1.606 0.000 -0.007 0.000 2.815" Properties=species:S:1:pos:R:3 comment="TcC (PBE-GGA, optimized geometry)" delta_e_f_ev_per_atom=0.6780 total_magnetization_mub_per_fu=0.0 pbc="T T T"
Tc 1.510 0.000 0.740
Tc 8.357 0.000 2.075
C 3.574 0.000 0.757
C 6.293 0.000 2.058

=====

Entry 10:
8
Lattice="4.179 0.000 0.000 0.000 5.023 0.000 0.000 0.000 5.214" Properties=species:S:1:pos:R:3 comment="Tc3C (PBE-GGA, optimized geometry)" delta_e_f_ev_per_atom=0.7195 total_magnetization_mub_per_fu=0.0 pbc="T T T"
Tc 1.045 0.096 0.673
Tc 1.045 1.256 3.219
Tc 1.045 2.416 0.673
Tc 3.134 2.607 4.541
Tc 3.134 3.767 1.995
Tc 3.134 4.927 4.541
C 1.045 3.767 2.330
C 3.134 1.256 2.884

=====

Entry 11:
8
Lattice="4.356 0.000 0.000 -2.178 3.772 0.000 0.000 0.000 4.560" Properties=species:S:1:pos:R:3 comment="TcC3 (PBE-GGA, optimized geometry)" delta_e_f_ev_per_atom=1.7144 total_magnetization_mub_per_fu=0.0 pbc="T T T"
Tc 0.000 2.515 1.140
Tc 2.178 1.257 3.420
C 0.000 1.651 3.420
C -0.748 2.947 3.420
C 1.430 0.825 1.140
C 0.748 2.947 3.420
C 2.926 0.825 1.140
C 2.178 2.122 1.140

=====

Entry 12:
4
Lattice="2.866 0.000 0.000 0.000 2.866 0.000 0.000 0.000 4.044" Properties=species:S:1:pos:R:3 comment="TcC3 (PBE-GGA, optimized geometry)" delta_e_f_ev_per_atom=1.9865 total_magnetization_mub_per_fu=0.0 pbc="T T T"
Tc 0.000 0.000 0.000
C 0.000 0.000 2.022
C 1.433 1.433 1.284
C 1.433 1.433 2.760

=====

Entry 13:
6
Lattice="4.807 -1.421 0.000 4.807 1.421 0.000 -2.325 0.000 4.721" Properties=species:S:1:pos:R:3 comment="TcC (PBE-GGA, optimized geometry)" delta_e_f_ev_per_atom=0.5723 total_magnetization_mub_per_fu=0.0 pbc="T T T"
Tc 0.000 0.000 0.000
Tc 2.055 0.000 2.246
Tc 4.526 0.000 3.228
C 1.091 0.000 4.041
C 5.564 0.000 1.394
C 8.406 0.000 1.840